[1]
This record from the Alexandria database describes a geometry-optimized Cs2V2InCl7 structure. The functional is PBE.

Structure (CIF):
```
data_Cs2V2InCl7
_symmetry_space_group_name_H-M 'I 4/m m m'
_symmetry_Int_Tables_number 139
_symmetry_space_group_name_Hall '-I 4 2'
_cell_length_a 5.046
_cell_length_b 5.046
_cell_length_c 26.967
_cell_angle_alpha 90.00
_cell_angle_beta 90.00
_cell_angle_gamma 90.00
loop_
_atom_site_label
_atom_site_fract_x
_atom_site_fract_y
_atom_site_fract_z
Cs1 0.000 0.000 0.181
V1 0.000 0.000 0.406
In1 0.000 0.000 0.000
Cl1 0.000 0.000 0.314
Cl2 0.000 0.000 0.500
Cl3 0.000 0.500 0.089
```

## Properties
E: -4.31 eV per atom
Crystal system: tetragonal


[2]
This record from the Alexandria database describes a geometry-optimized Cs2InWCl6 structure. The functional is PBE.

Structure (CIF):
```
data_Cs2InWCl6
_symmetry_space_group_name_H-M 'F m -3 m'
_symmetry_Int_Tables_number 225
_symmetry_space_group_name_Hall '-F 4 2 3'
_cell_length_a 11.009
_cell_length_b 11.009
_cell_length_c 11.009
_cell_angle_alpha 90.00
_cell_angle_beta 90.00
_cell_angle_gamma 90.00
loop_
_atom_site_label
_atom_site_fract_x
_atom_site_fract_y
_atom_site_fract_z
Cs1 0.250 0.250 0.250
In1 0.000 0.000 0.000
W1 0.000 0.000 0.500
Cl1 0.000 0.000 0.277
```

## Properties
E: -4.09 eV per atom
Crystal system: cubic


[3]
This record from the Alexandria database describes a geometry-optimized Cs2YInCl6 structure. The functional is PBE.

Structure (CIF):
```
data_Cs2YInCl6
_symmetry_space_group_name_H-M 'F m -3 m'
_symmetry_Int_Tables_number 225
_symmetry_space_group_name_Hall '-F 4 2 3'
_cell_length_a 11.445
_cell_length_b 11.445
_cell_length_c 11.445
_cell_angle_alpha 90.00
_cell_angle_beta 90.00
_cell_angle_gamma 90.00
loop_
_atom_site_label
_atom_site_fract_x
_atom_site_fract_y
_atom_site_fract_z
Cs1 0.250 0.250 0.250
Y1 0.000 0.000 0.000
In1 0.000 0.000 0.500
Cl1 0.000 0.000 0.231
```

## Properties
ΔE to the lowest computed polymorph: 16 meV/atom
Crystal system: cubic


[4]
This record from the Alexandria database describes a geometry-optimized Cs2YInCl6 structure. The functional is PBE.

Structure (CIF):
```
data_Cs2YInCl6
_symmetry_space_group_name_H-M 'P 1 21/c 1'
_symmetry_Int_Tables_number 14
_cell_length_a 7.925
_cell_length_b 8.178
_cell_length_c 13.831
_cell_angle_alpha 90.00
_cell_angle_beta 124.85
_cell_angle_gamma 90.00
loop_
_symmetry_equiv_pos_as_xyz
'x,y,z'
'-x,-y,-z'
'-x,y+1/2,-z+1/2'
'x,-y+1/2,z+1/2'
loop_
_atom_site_label
_atom_site_fract_x
_atom_site_fract_y
_atom_site_fract_z
Cs1 0.236 0.053 0.250
Y1 0.500 0.000 0.000
In1 0.000 0.000 0.500
Cl1 0.192 0.185 0.963
Cl2 0.278 0.732 0.960
Cl3 0.346 0.019 0.772
```

## Properties
ΔE to the lowest computed polymorph: 0 meV/atom
Crystal system: monoclinic


[5]
This record from the Alexandria database describes a geometry-optimized CsYIn2Cl6 structure. The functional is PBE.

Structure (CIF):
```
data_CsYIn2Cl6
_symmetry_space_group_name_H-M 'P 1'
_symmetry_Int_Tables_number 1
_cell_length_a 7.939
_cell_length_b 7.961
_cell_length_c 8.243
_cell_angle_alpha 90.05
_cell_angle_beta 118.78
_cell_angle_gamma 119.91
loop_
_symmetry_equiv_pos_as_xyz
'x,y,z'
loop_
_atom_site_label
_atom_site_fract_x
_atom_site_fract_y
_atom_site_fract_z
Cs1 0.000 0.000 0.000
Y1 0.971 0.485 0.456
In1 0.571 0.286 0.855
In2 0.591 0.796 0.387
Cl1 0.075 0.425 0.203
Cl2 0.083 0.260 0.659
Cl3 0.399 0.823 0.658
Cl4 0.555 0.130 0.203
Cl5 0.778 0.648 0.202
Cl6 0.834 0.577 0.658
```

## Properties
E: -4.05 eV per atom
Crystal system: triclinic


[6]
This record from the Alexandria database describes a geometry-optimized CsZnInCl4 structure. The functional is PBE.

Structure (CIF):
```
data_CsZnInCl4
_symmetry_space_group_name_H-M 'P 1 21/m 1'
_symmetry_Int_Tables_number 11
_cell_length_a 6.739
_cell_length_b 7.365
_cell_length_c 9.768
_cell_angle_alpha 90.00
_cell_angle_beta 106.66
_cell_angle_gamma 90.00
loop_
_symmetry_equiv_pos_as_xyz
'x,y,z'
'-x,-y,-z'
'-x,y+1/2,-z'
'x,-y+1/2,z'
loop_
_atom_site_label
_atom_site_fract_x
_atom_site_fract_y
_atom_site_fract_z
Cs1 0.247 0.250 0.094
Zn1 0.407 0.250 0.711
In1 0.179 0.750 0.497
Cl1 0.245 0.750 0.177
Cl2 0.258 0.504 0.772
Cl3 0.352 0.250 0.466
```

## Properties
E: -3.09 eV per atom
Crystal system: monoclinic